First-principles (PBE+U) data for FeBrF2 after structural relaxation, as listed in Alexandria.

For the volume, the calculation gives 20.7 Å³/atom. The energy above the most stable polymorph in this dataset is 0.0 meV/atom. The total DFT energy (no corrections) is -4.388 eV per atom.

The structure belongs to space group P2_1/m (No. 11); the cell edges are 2.9626, 8.6078 and 6.6533 Å and the angles 90.00°, 102.76° and 90.00°. The inequivalent atoms are Fe at (0.1342, 0.2500, 0.2746), Br at (0.0554, 0.7500, 0.1087) and F at (0.3400, 0.6017, 0.6735).